No. 1
The following is a DFT calculation (PBE) of a geometry-optimized IrOsAu2 structure.

Computed properties:
Energy relative to the elements, eV per atom: 0.741

Structure (CIF):
```
data_IrOsAu2
_chemical_formula_sum 'Ir1 Os1 Au2'
_space_group_name_H-M_alt 'P 1'
_space_group_IT_number 1
_cell_length_a 4.501
_cell_length_b 4.501
_cell_length_c 4.501
_cell_angle_alpha 60.00
_cell_angle_beta 60.00
_cell_angle_gamma 60.00
loop_
_space_group_symop_operation_xyz
'x,y,z'
loop_
_atom_site_label
_atom_site_fract_x
_atom_site_fract_y
_atom_site_fract_z
Ir1 0.000 0.000 0.000
Os1 0.750 0.750 0.750
Au1 0.250 0.250 0.250
Au2 0.500 0.500 0.500
```

***

No. 2
The following is a DFT calculation (PBE) of a geometry-optimized SrHf2Co structure.

Structure (CIF):
```
data_SrHf2Co
_chemical_formula_sum 'Sr1 Hf2 Co1'
_space_group_name_H-M_alt 'P 1'
_space_group_IT_number 1
_cell_length_a 4.978
_cell_length_b 4.978
_cell_length_c 4.978
_cell_angle_alpha 60.00
_cell_angle_beta 60.00
_cell_angle_gamma 60.00
loop_
_space_group_symop_operation_xyz
'x,y,z'
loop_
_atom_site_label
_atom_site_fract_x
_atom_site_fract_y
_atom_site_fract_z
Sr1 0.000 0.000 0.000
Hf1 0.500 0.500 0.500
Hf2 0.750 0.750 0.750
Co1 0.250 0.250 0.250
```

***

No. 3
The following is a DFT calculation (PBE) of a geometry-optimized PrAsNO structure.

Computed properties:
Energy relative to the lowest polymorph listed for this composition, meV/atom: 93

Structure (CIF):
```
data_PrAsNO
_chemical_formula_sum 'Pr4 As4 N4 O4'
_space_group_name_H-M_alt 'P 1'
_space_group_IT_number 1
_cell_length_a 6.365
_cell_length_b 6.712
_cell_length_c 6.057
_cell_angle_alpha 90.00
_cell_angle_beta 90.00
_cell_angle_gamma 90.00
loop_
_space_group_symop_operation_xyz
'x,y,z'
loop_
_atom_site_label
_atom_site_fract_x
_atom_site_fract_y
_atom_site_fract_z
Pr1 0.068 0.244 0.000
Pr2 0.432 0.244 0.500
Pr3 0.568 0.756 0.000
Pr4 0.932 0.756 0.500
As1 0.100 0.759 0.993
As2 0.400 0.759 0.493
As3 0.600 0.241 0.993
As4 0.900 0.241 0.493
N1 0.097 0.081 0.374
N2 0.403 0.081 0.874
N3 0.597 0.919 0.374
N4 0.903 0.919 0.874
O1 0.082 0.423 0.630
O2 0.418 0.423 0.130
O3 0.582 0.577 0.630
O4 0.918 0.577 0.130
```

***

No. 4
The following is a DFT calculation (PBE) of a geometry-optimized FeReSiAu structure.

Computed properties:
Energy relative to the lowest polymorph listed for this composition, meV/atom: 0

Structure (CIF):
```
data_FeReSiAu
_chemical_formula_sum 'Fe1 Re1 Si1 Au1'
_space_group_name_H-M_alt 'P 1'
_space_group_IT_number 1
_cell_length_a 4.319
_cell_length_b 4.319
_cell_length_c 4.319
_cell_angle_alpha 60.00
_cell_angle_beta 60.00
_cell_angle_gamma 60.00
loop_
_space_group_symop_operation_xyz
'x,y,z'
loop_
_atom_site_label
_atom_site_fract_x
_atom_site_fract_y
_atom_site_fract_z
Fe1 0.000 0.000 0.000
Re1 0.500 0.500 0.500
Si1 0.750 0.750 0.750
Au1 0.250 0.250 0.250
```

***

No. 5
The following is a DFT calculation (PBE) of a geometry-optimized HfSnB4 structure.

Computed properties:
Energy relative to the lowest polymorph listed for this composition, meV/atom: 0

Structure (CIF):
```
data_HfSnB4
_chemical_formula_sum 'Hf1 Sn1 B4'
_space_group_name_H-M_alt 'P 1'
_space_group_IT_number 1
_cell_length_a 3.156
_cell_length_b 3.156
_cell_length_c 7.878
_cell_angle_alpha 90.00
_cell_angle_beta 90.00
_cell_angle_gamma 120.00
loop_
_space_group_symop_operation_xyz
'x,y,z'
loop_
_atom_site_label
_atom_site_fract_x
_atom_site_fract_y
_atom_site_fract_z
Hf1 0.000 0.000 0.000
Sn1 0.000 0.000 0.500
B1 0.333 0.667 0.216
B2 0.333 0.667 0.784
B3 0.667 0.333 0.216
B4 0.667 0.333 0.784
```

***

No. 6
The following is a DFT calculation (PBE) of a geometry-optimized PmHfPb structure.

Computed properties:
Energy relative to the lowest polymorph listed for this composition, meV/atom: 568

Structure (CIF):
```
data_PmHfPb
_chemical_formula_sum 'Pm1 Hf1 Pb1'
_space_group_name_H-M_alt 'P 1'
_space_group_IT_number 1
_cell_length_a 5.184
_cell_length_b 5.184
_cell_length_c 5.184
_cell_angle_alpha 60.00
_cell_angle_beta 60.00
_cell_angle_gamma 60.00
loop_
_space_group_symop_operation_xyz
'x,y,z'
loop_
_atom_site_label
_atom_site_fract_x
_atom_site_fract_y
_atom_site_fract_z
Pm1 0.000 0.000 0.000
Hf1 0.250 0.250 0.250
Pb1 0.750 0.750 0.750
```

***

No. 7
The following is a DFT calculation (PBE) of a geometry-optimized YLuCoSn structure.

Computed properties:
Energy relative to the lowest polymorph listed for this composition, meV/atom: 0

Structure (CIF):
```
data_YLuCoSn
_chemical_formula_sum 'Y1 Lu1 Co1 Sn1'
_space_group_name_H-M_alt 'P 1'
_space_group_IT_number 1
_cell_length_a 4.916
_cell_length_b 4.916
_cell_length_c 4.916
_cell_angle_alpha 60.00
_cell_angle_beta 60.00
_cell_angle_gamma 60.00
loop_
_space_group_symop_operation_xyz
'x,y,z'
loop_
_atom_site_label
_atom_site_fract_x
_atom_site_fract_y
_atom_site_fract_z
Y1 0.000 0.000 0.000
Lu1 0.750 0.750 0.750
Co1 0.500 0.500 0.500
Sn1 0.250 0.250 0.250
```

***

No. 8
The following is a DFT calculation (PBE) of a geometry-optimized Ni2Sb structure.

Structure (CIF):
```
data_Ni2Sb
_chemical_formula_sum 'Ni4 Sb2'
_space_group_name_H-M_alt 'P 1'
_space_group_IT_number 1
_cell_length_a 4.974
_cell_length_b 4.974
_cell_length_c 4.974
_cell_angle_alpha 60.00
_cell_angle_beta 60.00
_cell_angle_gamma 60.00
loop_
_space_group_symop_operation_xyz
'x,y,z'
loop_
_atom_site_label
_atom_site_fract_x
_atom_site_fract_y
_atom_site_fract_z
Ni1 0.000 0.000 0.000
Ni2 0.000 0.000 0.500
Ni3 0.000 0.500 0.000
Ni4 0.500 0.000 0.000
Sb1 0.375 0.375 0.375
Sb2 0.625 0.625 0.625
```

***

In eV/cell, the raw total energy values for the records above are, in order, -23.65; -25.44; -110.49; -28.04; -41.81; -16.05; -22.19; -30.03.